The following is a PBE-GGA calculation of a geometry-optimized RbSb3S5O structure, from Alexandria via LeMat-Bulk.

The space group is P-1 (No. 2) and the conventional cell measures 6.517, 8.936 and 11.629 Å, with angles of 106.09, 99.99 and 108.23 degrees. Symmetry generates all atoms from Rb at (0.231, 0.155, 0.192), Sb at (0.205, 0.691, 0.488), Sb at (0.220, 0.558, 0.928), Sb at (0.252, 0.139, 0.649), S at (0.162, 0.940, 0.399), S at (0.201, 0.461, 0.602), S at (0.206, 0.586, 0.143), S at (0.243, 0.881, 0.700), S at (0.286, 0.276, 0.902) and O at (0.113, 0.165, 0.950).

The density is 3.52 g/cm3. As for the total magnetic moment: 0.000 μB/atom. For the total DFT energy (no corrections), the calculation gives -4.41 eV/atom. The formation energy without anion corrections is -518.9 meV per atom. Its relative energy among the computed polymorphs is 0 meV per atom.